# Cd2Te2Se

A relaxed Cd2Te2Se crystal (PBE, the Alexandria database).

Cell and atoms, written as POSCAR:
```
Cd2Te2Se
1.0
-7.6683 -2.7944 0.8494
2.2420 -7.1615 -3.3197
1.0024 -1.5370 3.9928
Te Cd Se
4 4 2
Direct
0.7148 0.2148 0.0000 Te
0.2148 0.2852 0.0000 Te
0.7852 0.7148 0.0000 Te
0.2852 0.7852 0.0000 Te
0.6219 0.8781 0.5000 Cd
0.8781 0.3781 0.5000 Cd
0.1219 0.6219 0.5000 Cd
0.3781 0.1219 0.5000 Cd
0.5000 0.5000 0.0000 Se
0.0000 0.0000 0.0000 Se
```

Calculated values
The value obtained for the energy above the lowest structure with this stoichiometry is 0.00 kcal/mol of atoms. The calculation puts the energy relative to the elements, uncorrected at -0.2 eV/f.u. As for the total energy: -2.360 eV/atom. Its space group is P4/mbm, No. 127.

# Mg2IrPt

A relaxed Mg2IrPt crystal (PBE, the Alexandria database).

Cell and atoms, written as POSCAR:
```
Mg2IrPt
1.0
-4.2232 -0.8066 -1.0727
-2.0422 -3.5962 1.5915
-3.1823 0.4285 3.0538
Mg Pt Ir
2 1 1
Direct
0.5000 0.5000 0.5000 Mg
0.0000 0.0000 0.0000 Mg
0.7500 0.7500 0.7500 Pt
0.2500 0.2500 0.2500 Ir
```

Calculated values
The calculation puts the formation energy from the elements at -0.59 eV/atom. As for the total energy: -5.113 eV/atom. Its space group is Fm-3m, No. 225.

# SmTm2PaS4

A relaxed SmTm2PaS4 crystal (PBE, the Alexandria database).

Cell and atoms, written as POSCAR:
```
SmTm2PaS4
1.0
-2.1724 -3.1721 0.1001
1.4413 -1.1944 -6.5713
5.5250 -3.7947 -0.3451
S Tm Pa Sm
4 2 1 1
Direct
0.0000 0.2371 0.2577 S
0.5000 0.2388 0.7512 S
0.5000 0.7612 0.2488 S
0.0000 0.7629 0.7423 S
0.0000 0.0000 0.0000 Tm
0.5000 0.0000 0.5000 Tm
0.0000 0.5000 0.5000 Pa
0.5000 0.5000 0.0000 Sm
```

Calculated values
The calculation puts the energy relative to the elements, uncorrected at -14.8 eV/f.u. As for the total energy: -6.814 eV/atom. Its space group is P2/m, No. 10.

# Ac2Ag5Pb

A relaxed Ac2Ag5Pb crystal (PBE, the Alexandria database).

Cell and atoms, written as POSCAR:
```
Ac2Ag5Pb
1.0
-2.4149 0.3316 4.1814
-6.4040 -0.5366 -6.4573
0.0240 -9.9181 0.8003
Pb Ag Ac
2 10 4
Direct
0.4439 0.8878 0.7500 Pb
0.5561 0.1122 0.2500 Pb
0.6058 0.2117 0.7500 Ag
0.3425 0.6850 0.5205 Ag
0.6575 0.3150 0.0205 Ag
0.6575 0.3150 0.4795 Ag
0.8194 0.6388 0.3896 Ag
0.8194 0.6388 0.1104 Ag
0.3425 0.6850 0.9795 Ag
0.3942 0.7883 0.2500 Ag
0.1806 0.3612 0.6104 Ag
0.1806 0.3612 0.8896 Ag
0.0000 0.0000 0.0000 Ac
0.0000 0.0000 0.5000 Ac
0.7934 0.5867 0.7500 Ac
0.2066 0.4133 0.2500 Ac
```

Calculated values
The value obtained for the energy above the lowest structure with this stoichiometry is 0.00 kcal/mol of atoms. The calculation puts the formation energy from the elements at -0.27 eV/atom. As for the total energy: -3.539 eV/atom. Its space group is Cmcm, No. 63.

# Tb12SmTm6

A relaxed Tb12SmTm6 crystal (PBE, the Alexandria database).

Cell and atoms, written as POSCAR:
```
Tb12SmTm6
1.0
8.9805 -1.1547 -2.0067
-2.2373 8.7737 -2.0067
-1.0220 -1.1547 9.1450
Tb Tm Sm
12 6 1
Direct
0.3676 0.1489 0.3676 Tb
0.1111 0.5000 0.8889 Tb
0.6324 0.6324 0.8511 Tb
0.8889 0.1111 0.5000 Tb
0.5000 0.1111 0.8889 Tb
0.5000 0.8889 0.1111 Tb
0.1111 0.8889 0.5000 Tb
0.1489 0.3676 0.3676 Tb
0.6324 0.8511 0.6324 Tb
0.3676 0.3676 0.1489 Tb
0.8511 0.6324 0.6324 Tb
0.8889 0.5000 0.1111 Tb
0.3126 0.3126 0.7335 Tm
0.6874 0.6874 0.2665 Tm
0.2665 0.6874 0.6874 Tm
0.3126 0.7335 0.3126 Tm
0.7335 0.3126 0.3126 Tm
0.6874 0.2665 0.6874 Tm
0.0000 0.0000 0.0000 Sm
```

Calculated values
The value obtained for the energy above the lowest structure with this stoichiometry is 6.58 kcal/mol of atoms. The calculation puts the formation energy from the elements at 0.44 eV/atom. As for the total energy: -4.147 eV/atom. Its space group is R-3m, No. 166.

# Hf6FeSn

A relaxed Hf6FeSn crystal (PBE, the Alexandria database).

Cell and atoms, written as POSCAR:
```
Hf6FeSn
1.0
5.7993 0.4374 -0.2383
-1.7515 5.5458 -0.2383
-0.9863 -1.4580 5.5471
Fe Hf Sn
1 6 1
Direct
0.5000 0.5000 0.5000 Fe
0.2156 0.6228 0.2156 Hf
0.2155 0.2155 0.6228 Hf
0.6228 0.2156 0.2156 Hf
0.7845 0.7845 0.3772 Hf
0.7844 0.3772 0.7844 Hf
0.3772 0.7844 0.7844 Hf
0.0000 0.0000 0.0000 Sn
```

Calculated values
The calculation puts the formation energy from the elements at 0.08 eV/atom. As for the total energy: -8.943 eV/atom. Its space group is R-3m, No. 166.

# LuScGaAu

A relaxed LuScGaAu crystal (PBE, the Alexandria database).

Cell and atoms, written as POSCAR:
```
LuScGaAu
1.0
-4.7059 -0.9371 0.9816
-2.6806 -2.6304 -3.1437
-1.3980 -4.5435 1.1786
Lu Au Ga Sc
1 1 1 1
Direct
0.0000 0.0000 0.0000 Lu
0.7500 0.7500 0.7500 Au
0.2500 0.2500 0.2500 Ga
0.5000 0.5000 0.5000 Sc
```

Calculated values
The calculation puts the formation energy from the elements at -0.70 eV/atom. As for the total energy: -4.991 eV/atom. Its space group is F-43m, No. 216.

# Tb2BeHg

A relaxed Tb2BeHg crystal (PBE, the Alexandria database).

Cell and atoms, written as POSCAR:
```
Tb2BeHg
1.0
5.1175 0.0000 0.0000
2.5588 4.4319 0.0000
2.5588 1.4773 4.1785
Be Tb Hg
1 2 1
Direct
0.5000 0.5000 0.5000 Be
0.2500 0.2500 0.2500 Tb
0.7500 0.7500 0.7500 Tb
0.0000 0.0000 0.0000 Hg
```

Calculated values
The value obtained for the energy above the lowest structure with this stoichiometry is 1.83 kcal/mol of atoms. The calculation puts the formation energy from the elements at -0.11 eV/atom. As for the total energy: -3.434 eV/atom. Its space group is Fm-3m, No. 225.

# Dy4Er3Mg

A relaxed Dy4Er3Mg crystal (PBE, the Alexandria database).

Cell and atoms, written as POSCAR:
```
Dy4Er3Mg
1.0
-4.3521 3.9017 1.9492
-4.6621 -3.0490 -4.3060
-2.7949 -7.1630 8.0981
Dy Mg Er
8 2 6
Direct
0.6404 0.1259 0.0000 Dy
0.1609 0.8757 0.0000 Dy
0.1404 0.8741 0.5000 Dy
0.9869 0.1280 0.7551 Dy
0.4869 0.8720 0.2551 Dy
0.9869 0.1280 0.2449 Dy
0.6609 0.1243 0.5000 Dy
0.4869 0.8720 0.7449 Dy
0.6482 0.6198 0.5000 Mg
0.1482 0.3802 0.0000 Mg
0.1396 0.3721 0.5000 Er
0.4762 0.3776 0.7456 Er
0.6396 0.6279 0.0000 Er
0.9762 0.6224 0.2456 Er
0.9762 0.6224 0.7544 Er
0.4762 0.3776 0.2544 Er
```

Calculated values
The value obtained for the energy above the lowest structure with this stoichiometry is 0.00 kcal/mol of atoms. The calculation puts the formation energy from the elements at 0.00 eV/atom. As for the total energy: -4.207 eV/atom. Its space group is Pmn2_1, No. 31.

# KReBr2

A relaxed KReBr2 crystal (PBE, the Alexandria database).

Cell and atoms, written as POSCAR:
```
KReBr2
1.0
3.9673 0.0000 0.0000
0.0000 3.9673 0.0000
0.0000 0.0000 7.5635
Br K Re
2 1 1
Direct
0.5000 0.5000 0.2569 Br
0.0000 0.0000 0.8867 Br
0.0000 0.0000 0.4610 K
0.5000 0.5000 0.8954 Re
```

Calculated values
The value obtained for the energy above the lowest structure with this stoichiometry is 4.94 kcal/mol of atoms. The calculation puts the energy relative to the elements, uncorrected at 1.7 eV/f.u. As for the total energy: -3.802 eV/atom. Its space group is P4mm, No. 99.

# InGaAg

A relaxed InGaAg crystal (PBE, the Alexandria database).

Cell and atoms, written as POSCAR:
```
InGaAg
1.0
-0.4126 -0.1511 -2.9929
-3.3748 -5.8597 0.7607
-4.4652 4.4616 0.3984
In Ga Ag
2 2 2
Direct
0.4381 0.4716 0.3546 In
0.4422 0.6324 0.9339 In
0.4398 0.1201 0.9642 Ga
0.4360 0.9840 0.3249 Ga
0.9389 0.2700 0.6582 Ag
0.9385 0.8337 0.6306 Ag
```

Calculated values
The calculation puts the formation energy from the elements at 0.02 eV/atom. As for the total energy: -2.848 eV/atom. Its space group is P1, No. 1.

# VGa2Co

A relaxed VGa2Co crystal (PBE, the Alexandria database).

Cell and atoms, written as POSCAR:
```
VGa2Co
1.0
3.6935 0.0000 0.0000
0.0000 3.7866 0.0000
0.0000 0.0000 3.7866
Ga V Co
2 1 1
Direct
0.0000 0.0000 0.5000 Ga
0.0000 0.5000 0.0000 Ga
0.5000 0.5000 0.5000 V
0.5000 0.0000 0.0000 Co
```

Calculated values
The calculation puts the formation energy from the elements at -0.16 eV/atom. As for the total energy: -5.726 eV/atom. Its space group is P4/mmm, No. 123.

# Cu7C6

A relaxed Cu7C6 crystal (PBE, the Alexandria database).

Cell and atoms, written as POSCAR:
```
Cu7C6
1.0
-1.1753 -2.2137 6.3364
-4.7746 -4.0448 2.6972
0.2253 -6.1705 2.8820
Cu C
7 6
Direct
0.5762 0.5762 0.0479 Cu
0.4238 0.4238 0.9521 Cu
0.5000 0.5000 0.5000 Cu
0.9521 0.4238 0.4238 Cu
0.4238 0.9521 0.4238 Cu
0.0479 0.5762 0.5762 Cu
0.5762 0.0479 0.5762 Cu
0.3468 0.3468 0.3468 C
0.6532 0.6532 0.6532 C
0.8802 0.8802 0.8802 C
0.1905 0.1905 0.1905 C
0.8095 0.8095 0.8095 C
0.1198 0.1198 0.1198 C
```

Calculated values
The calculation puts the formation energy from the elements at 1.15 eV/atom. As for the total energy: -5.315 eV/atom. Its space group is R-3m, No. 166.

# NdGa7Co5

A relaxed NdGa7Co5 crystal (PBE, the Alexandria database).

Cell and atoms, written as POSCAR:
```
NdGa7Co5
1.0
-0.1678 5.0110 0.9856
-3.9442 1.4837 5.0304
4.6247 1.9265 4.2383
Ga Nd Co
7 1 5
Direct
0.6570 0.3430 0.3430 Ga
0.5166 0.1869 0.7798 Ga
0.2665 0.2335 0.2335 Ga
0.5166 0.7798 0.1869 Ga
0.9784 0.6787 0.3646 Ga
0.3429 0.6571 0.6571 Ga
0.9784 0.3646 0.6787 Ga
0.0057 0.9943 0.9943 Nd
0.0137 0.4919 0.0057 Co
0.0137 0.0057 0.4919 Co
0.4887 0.4919 0.0057 Co
0.4887 0.0057 0.4919 Co
0.7333 0.7667 0.7667 Co
```

Calculated values
The calculation puts the formation energy from the elements at -0.32 eV/atom. As for the total energy: -5.052 eV/atom. Its space group is Imm2, No. 44.

# LaTaN2

A relaxed LaTaN2 crystal (PBE, the Alexandria database).

Cell and atoms, written as POSCAR:
```
LaTaN2
1.0
5.2812 0.0000 0.0000
0.0000 5.2812 0.0000
2.6406 2.6406 4.9700
N Ta La
4 2 2
Direct
0.3750 0.2996 0.7500 N
0.7004 0.1250 0.2500 N
0.0496 0.6250 0.2500 N
0.8750 0.9504 0.7500 N
0.0000 0.0000 0.0000 Ta
0.7500 0.2500 0.5000 Ta
0.5000 0.5000 0.0000 La
0.2500 0.7500 0.5000 La
```

Calculated values
The calculation puts the energy relative to the elements, uncorrected at -4.0 eV/f.u. As for the total energy: -9.358 eV/atom. Its space group is I-42d, No. 122.

# Mn2AlCr

A relaxed Mn2AlCr crystal (PBE, the Alexandria database).

Cell and atoms, written as POSCAR:
```
Mn2AlCr
1.0
-2.0684 -1.8983 0.9944
2.9368 -2.3624 1.5988
-0.2230 2.0249 3.4017
Mn Al Cr
2 1 1
Direct
0.0000 0.0000 0.0000 Mn
0.5000 0.5000 0.0000 Mn
0.5000 0.0000 0.5000 Al
0.0000 0.5000 0.5000 Cr
```

Calculated values
The calculation puts the formation energy from the elements at 0.02 eV/atom. As for the total energy: -7.910 eV/atom. Its space group is Pmmm, No. 47.

# Ho5PaRh6

A relaxed Ho5PaRh6 crystal (PBE, the Alexandria database).

Cell and atoms, written as POSCAR:
```
Ho5PaRh6
1.0
0.8407 -1.2735 4.5776
5.2774 -3.9942 -2.0808
4.9417 4.9589 3.0151
Rh Pa Ho
6 1 5
Direct
0.4999 0.2331 0.0000 Rh
0.1558 0.2419 0.6884 Rh
0.8442 0.7581 0.3116 Rh
0.5001 0.7669 0.0000 Rh
0.8442 0.2419 0.3116 Rh
0.1558 0.7581 0.6884 Rh
0.0000 0.0000 0.0000 Pa
0.3287 0.0000 0.3426 Ho
0.3322 0.5000 0.3356 Ho
0.0000 0.5000 0.0000 Ho
0.6713 0.0000 0.6574 Ho
0.6678 0.5000 0.6644 Ho
```

Calculated values
The calculation puts the formation energy from the elements at -0.88 eV/atom. As for the total energy: -7.251 eV/atom. Its space group is Cmmm, No. 65.

# Sr4CaLa

A relaxed Sr4CaLa crystal (PBE, the Alexandria database).

Cell and atoms, written as POSCAR:
```
Sr4CaLa
1.0
1.3832 2.4530 6.9958
-2.6095 6.7163 2.2257
-5.6004 0.3892 5.0355
Sr La Ca
4 1 1
Direct
0.8768 0.3744 0.3744 Sr
0.3744 0.3744 0.3744 Sr
0.3744 0.8768 0.3744 Sr
0.3744 0.3744 0.8768 Sr
0.0000 0.0000 0.0000 La
0.7500 0.7500 0.7500 Ca
```

Calculated values
The calculation puts the formation energy from the elements at 0.28 eV/atom. As for the total energy: -1.997 eV/atom. Its space group is F-43m, No. 216.

# Tm4ScCu

A relaxed Tm4ScCu crystal (PBE, the Alexandria database).

Cell and atoms, written as POSCAR:
```
Tm4ScCu
1.0
-2.8657 -6.3756 1.7653
6.6155 -2.7521 0.7997
-1.9035 6.2279 4.6809
Tm Cu Sc
8 2 2
Direct
0.6946 0.5232 0.7179 Tm
0.1946 0.6946 0.7179 Tm
0.4768 0.9768 0.2821 Tm
0.3054 0.4768 0.2821 Tm
0.9768 0.8054 0.2821 Tm
0.8054 0.3054 0.2821 Tm
0.5232 0.0232 0.7179 Tm
0.0232 0.1946 0.7179 Tm
0.2500 0.2500 0.5000 Cu
0.7500 0.7500 0.5000 Cu
0.5000 0.5000 0.0000 Sc
0.0000 0.0000 0.0000 Sc
```

Calculated values
The value obtained for the energy above the lowest structure with this stoichiometry is 4.17 kcal/mol of atoms. The calculation puts the formation energy from the elements at 0.13 eV/atom. As for the total energy: -4.593 eV/atom. Its space group is I4/mcm, No. 140.

# Cd2AgOs

A relaxed Cd2AgOs crystal (PBE, the Alexandria database).

Cell and atoms, written as POSCAR:
```
Cd2AgOs
1.0
4.6668 0.0000 0.0000
2.3334 4.0415 0.0000
2.3334 1.3472 3.8104
Cd Ag Os
2 1 1
Direct
0.7500 0.7500 0.7500 Cd
0.0000 0.0000 0.0000 Cd
0.5000 0.5000 0.5000 Ag
0.2500 0.2500 0.2500 Os
```

Calculated values
The value obtained for the energy above the lowest structure with this stoichiometry is 6.71 kcal/mol of atoms. The calculation puts the formation energy from the elements at 0.64 eV/atom. As for the total energy: -3.342 eV/atom. Its space group is F-43m, No. 216.